! PBE Bi3TeCl, optimized geometry; values from VASP
! - ΔE_f (raw) (kJ/mol of atoms) = 56.74
! - E_tot (eV per atom) = -2.7381
! - distance to the lowest polymorph of the same formula (kJ/mol of formula units) = 0
&SYSTEM
  ibrav = 0, nat = 5, ntyp = 3
/
ATOMIC_SPECIES
Bi 208.98 Bi.upf
Te 127.60 Te.upf
Cl 35.45 Cl.upf
CELL_PARAMETERS angstrom
5.909 0.000 0.000
0.000 5.909 0.000
0.000 0.000 5.909
ATOMIC_POSITIONS crystal
Bi 0.000 0.000 0.500
Bi 0.000 0.500 0.000
Bi 0.500 0.000 0.000
Te 0.000 0.000 0.000
Cl 0.500 0.500 0.500

! PBE Bi2Te2Cl, optimized geometry; values from VASP
! - ΔE_f (raw) (kJ/mol of atoms) = -36.00
! - E_tot (eV per atom) = -3.5515
! - distance to the lowest polymorph of the same formula (kJ/mol of formula units) = 0
&SYSTEM
  ibrav = 0, nat = 10, ntyp = 3
/
ATOMIC_SPECIES
Bi 208.98 Bi.upf
Te 127.60 Te.upf
Cl 35.45 Cl.upf
CELL_PARAMETERS angstrom
4.298 0.000 0.000
-2.122 7.329 0.000
-1.980 -1.027 11.798
ATOMIC_POSITIONS crystal
Bi 0.161 0.490 0.337
Bi 0.338 0.007 0.163
Bi 0.662 0.993 0.837
Bi 0.839 0.510 0.663
Te 0.073 0.743 0.909
Te 0.428 0.759 0.590
Te 0.572 0.241 0.410
Te 0.927 0.257 0.091
Cl 0.252 0.253 0.751
Cl 0.748 0.747 0.249

! PBE Bi2TeCl8, optimized geometry; values from VASP
! - ΔE_f (raw) (kJ/mol of atoms) = -66.74
! - E_tot (eV per atom) = -3.0259
&SYSTEM
  ibrav = 0, nat = 11, ntyp = 3
/
ATOMIC_SPECIES
Bi 208.98 Bi.upf
Te 127.60 Te.upf
Cl 35.45 Cl.upf
CELL_PARAMETERS angstrom
6.808 -3.306 0.000
6.808 3.306 0.000
-3.474 0.000 9.994
ATOMIC_POSITIONS crystal
Bi 0.213 0.213 0.317
Bi 0.787 0.787 0.683
Te 0.000 0.000 0.000
Cl 0.104 0.591 0.901
Cl 0.266 0.266 0.586
Cl 0.394 0.394 0.324
Cl 0.409 0.896 0.099
Cl 0.591 0.104 0.901
Cl 0.606 0.606 0.676
Cl 0.734 0.734 0.414
Cl 0.896 0.409 0.099